[1]
4
Lattice="-4.193 -2.789 0.895 0.355 -4.387 2.607 -1.898 -0.312 4.752" Properties=species:S:1:pos:R:3 comment="GdHo2Ru PBE-GGA optimized geometry" ef_ev_per_fu=0.25 dos_at_fermi_per_ev_atom=1.6677 space_group="No. 166" magnetic_moment_mub_per_atom=1.897 energy_ev_per_atom=-8.07 pbc="T T T"
Ru 0.000 0.000 0.000
Gd -2.868 -3.745 4.127
Ho -1.434 -1.874 2.060
Ho -4.303 -5.615 6.193

***

[2]
5
Lattice="5.366 0.000 0.000 0.000 5.366 0.000 0.000 0.000 5.366" Properties=species:S:1:pos:R:3 comment="GdHo3Ru PBE-GGA optimized geometry" ef_ev_per_fu=-0.47 dos_at_fermi_per_ev_atom=1.6198 space_group="No. 221" magnetic_moment_mub_per_atom=1.577 energy_ev_per_atom=-7.51 pbc="T T T"
Ru 0.000 0.000 0.000
Gd 2.683 2.683 2.683
Ho 0.000 2.683 0.000
Ho 0.000 0.000 2.683
Ho 2.683 0.000 0.000

***

[3]
4
Lattice="5.083 0.000 0.000 2.542 4.402 0.000 2.542 1.467 4.150" Properties=species:S:1:pos:R:3 comment="GdHoSnRu PBE-GGA optimized geometry" ef_ev_per_fu=-1.60 dos_at_fermi_per_ev_atom=0.6473 space_group="No. 216" magnetic_moment_mub_per_atom=1.752 energy_ev_per_atom=-8.38 pbc="T T T"
Ru 7.625 4.402 3.113
Gd 5.083 2.935 2.075
Ho 0.000 0.000 0.000
Sn 2.542 1.467 1.038

***

[4]
4
Lattice="4.833 0.000 0.000 2.417 4.186 0.000 2.417 1.395 3.946" Properties=species:S:1:pos:R:3 comment="GdHoTcRu PBE-GGA optimized geometry" ef_ev_per_fu=-0.11 dos_at_fermi_per_ev_atom=1.2797 space_group="No. 216" magnetic_moment_mub_per_atom=1.567 energy_ev_per_atom=-9.60 pbc="T T T"
Ru 2.417 1.395 0.987
Gd 0.000 0.000 0.000
Ho 4.833 2.790 1.973
Tc 7.250 4.186 2.960

***

[5]
4
Lattice="-3.964 -1.772 -2.743 -3.124 -3.551 2.001 -4.802 1.255 1.321" Properties=species:S:1:pos:R:3 comment="GdHoTmRu PBE-GGA optimized geometry" ef_ev_per_fu=0.27 dos_at_fermi_per_ev_atom=1.2290 space_group="No. 216" magnetic_moment_mub_per_atom=1.796 energy_ev_per_atom=-8.03 pbc="T T T"
Gd 0.000 0.000 0.000
Ru -2.973 -1.017 0.145
Tm -8.918 -3.051 0.435
Ho -5.945 -2.034 0.290

***

[6]
4
Lattice="-1.228 -1.177 -3.219 -2.922 -2.166 -0.152 -7.299 6.912 -1.802" Properties=species:S:1:pos:R:3 comment="GdHo2S PBE-GGA optimized geometry" formation_energy_uncorrected_ev_per_atom=-0.75 dos_at_fermi_per_ev_atom=1.1473 space_group="No. 166" magnetic_moment_mub_per_atom=1.973 energy_ev_per_atom=-7.59 pbc="T T T"
S -5.724 1.784 -2.586
Gd 0.000 0.000 0.000
Ho -5.314 4.219 -1.574
Ho -6.134 -0.650 -3.599

***

[7]
5
Lattice="5.365 0.000 0.000 0.000 5.365 0.000 0.000 0.000 5.365" Properties=species:S:1:pos:R:3 comment="Gd3HoS PBE-GGA optimized geometry" formation_energy_uncorrected_ev_per_atom=-0.66 dos_at_fermi_per_ev_atom=1.5613 space_group="No. 221" magnetic_moment_mub_per_atom=4.540 energy_ev_per_atom=-10.85 pbc="T T T"
S 0.000 0.000 0.000
Gd 0.000 2.682 0.000
Gd 0.000 0.000 2.682
Gd 2.682 0.000 0.000
Ho 2.682 2.682 2.682

***

[8]
3
Lattice="-0.544 -3.377 2.091 4.370 -1.818 -1.798 -0.052 2.671 4.301" Properties=species:S:1:pos:R:3 comment="GdHoSb PBE-GGA optimized geometry" formation_energy_uncorrected_ev_per_atom=-0.45 dos_at_fermi_per_ev_atom=1.0528 space_group="No. 156" magnetic_moment_mub_per_atom=2.422 energy_ev_per_atom=-8.04 pbc="T T T"
Sb 1.262 0.185 2.881
Gd 2.560 -2.407 1.527
Ho -0.048 -0.301 0.186

***

What did the second record say?
5
Lattice="5.366 0.000 0.000 0.000 5.366 0.000 0.000 0.000 5.366" Properties=species:S:1:pos:R:3 comment="GdHo3Ru PBE-GGA optimized geometry" ef_ev_per_fu=-0.47 dos_at_fermi_per_ev_atom=1.6198 space_group="No. 221" magnetic_moment_mub_per_atom=1.577 energy_ev_per_atom=-7.51 pbc="T T T"
Ru 0.000 0.000 0.000
Gd 2.683 2.683 2.683
Ho 0.000 2.683 0.000
Ho 0.000 0.000 2.683
Ho 2.683 0.000 0.000